Entry from Alexandria: SiBSb2I after structural relaxation (GGA-PBEsol).

## Properties
- SG: P4/mmm
- Total moment: 0.00 μB/atom
- Energy relative to the elements, uncorrected: 0.964 eV/atom

abc: 4.8925 4.7704 4.7704
angles: 90.00 90.00 90.00
With the nearest neighbours (Å) after each atom.
Positions (direct):
I (0.5000, 0.0000, 0.0000)  2 B 2.45
B (0.0000, 0.0000, 0.0000)  4 Sb 2.39, 2 I 2.45
Sb (0.0000, 0.5000, 0.0000)  2 B 2.39
Sb (0.0000, 0.0000, 0.5000)  2 B 2.39
Si (0.5000, 0.5000, 0.5000)  4 I 3.37, 8 Sb 3.42